Record 1
Material: Mn2InP
Method: DFT, PBEsol
State: relaxed

energy: -27.18 eV per cell
E_form: 278 meV per atom

Cell: 3.661 3.913 4.106 Å, 90.00 90.00 90.00°
Space group Pmmm (No. 47)
Symmetry-distinct sites (fractional):
Mn 0.000 0.000 0.000
Mn 0.000 0.500 0.500
In 0.500 0.000 0.500
P 0.500 0.500 0.000

***

Record 2
Material: MnInP2
Method: DFT, PBEsol
State: relaxed

energy: -24.15 eV per cell
E_form: 43 meV per atom

Cell: 2.908 2.908 7.122 Å, 90.00 90.00 90.00°
Space group P4mm (No. 99)
Symmetry-distinct sites (fractional):
Mn 0.000 0.000 0.000
In 0.500 0.500 0.712
P 0.000 0.000 0.335
P 0.500 0.500 0.136